Entry 1:
This record from the Alexandria database describes crystalline Ni2MoOs at its relaxed geometry. The functional is GGA-PBEsol.

Cell: 3.6926 3.6926 4.5089 Å, 114.17 114.17 90.00°
With the nearest neighbours (Å) after each atom.
Fractional positions:
1 Os 0.5000 0.5000 0.0000  4 Mo 2.61, 8 Ni 2.61
2 Ni 0.0000 0.0000 0.0000  4 Mo 2.61, 4 Ni 2.61, 4 Os 2.61
3 Ni 0.2500 0.7500 0.5000  4 Os 2.61, 4 Ni 2.61, 4 Mo 2.61
4 Mo 0.7500 0.2500 0.5000  4 Os 2.61, 8 Ni 2.61

Formation enthalpy at 0 K (eV per atom): -0.020
Energy relative to the lowest polymorph listed for this composition (meV per atom): 0
Magnetic moment (μB per formula unit): 0.00
Symmetry: I-4m2

Entry 2:
This record from the Alexandria database describes crystalline UFe5Si3 at its relaxed geometry. The functional is GGA-PBEsol.

Cell: 3.8652 3.8652 7.4497 Å, 90.00 90.00 90.00°
With the nearest neighbours (Å) after each atom.
Fractional positions:
1 Fe 0.5000 0.0000 0.3119  4 Si 2.25-2.39, 2 Fe 2.39
2 Fe 0.5000 0.0000 0.6881  4 Si 2.25-2.39, 2 Fe 2.39
3 Fe 0.0000 0.5000 0.6881  4 Si 2.25-2.39, 2 Fe 2.39
4 Fe 0.5000 0.5000 0.5000  8 Fe 2.39, 2 Si 2.55
5 Fe 0.0000 0.5000 0.3119  4 Si 2.25-2.39, 2 Fe 2.39
6 Si 0.0000 0.0000 0.5000  8 Fe 2.39
7 Si 0.5000 0.5000 0.8426  4 Fe 2.25, 1 Si 2.35
8 Si 0.5000 0.5000 0.1574  4 Fe 2.25, 1 Si 2.35
9 U 0.0000 0.0000 0.0000  8 Si 2.97, 8 Fe 3.02

Magnetic moment (μB per formula unit): 2.72
Formation energy from raw total energies (eV per atom): -0.481
Symmetry: P4/mmm

Entry 3:
This record from the Alexandria database describes crystalline K3Sb at its relaxed geometry. The functional is GGA-PBEsol.

Cell: 5.5629 5.5629 10.5382 Å, 105.30 105.30 90.00°
With the nearest neighbours (Å) after each atom.
Fractional positions:
1 K 0.2500 0.7500 0.5000  8 K 3.53-3.93, 4 Sb 3.61
2 K 0.1390 0.1390 0.2780  8 K 3.53-3.89, 4 Sb 3.94
3 K 0.5000 0.0000 0.0000  4 Sb 3.80, 8 K 3.89-3.93
4 K 0.8610 0.8610 0.7220  8 K 3.53-3.89, 4 Sb 3.94
5 K 0.7500 0.2500 0.5000  8 K 3.53-3.93, 4 Sb 3.61
6 K 0.0000 0.5000 0.0000  4 Sb 3.80, 8 K 3.89-3.93
7 Sb 0.6323 0.6323 0.2646  12 K 3.61-3.94
8 Sb 0.3677 0.3677 0.7354  12 K 3.61-3.94

Energy relative to the lowest polymorph listed for this composition (meV per atom): 102
Magnetic moment (μB per formula unit): 0.00
Formation energy from raw total energies (eV per atom): -0.309
Symmetry: I4/mmm